# 1
A plane-wave DFT calculation with GGA-PBE was carried out for Ga2FeOs after structural relaxation.

Unit cell a=6.7515 b=6.7515 c=5.4711 alpha=51.90 beta=51.90 gamma=90.00
Last column: magnetic moment on the atom in μB.
Sites, in units of the cell vectors:
1 Fe 0.2500 0.7500 0.5000  2.44
2 Fe 0.5000 0.5000 0.0000  2.44
3 Os 0.7500 0.2500 0.5000  0.41
4 Os 0.0000 0.0000 0.0000  0.41
5 Ga 0.6173 0.1250 0.2500  -0.05
6 Ga 0.3750 0.3827 0.7500  -0.05
7 Ga 0.8750 0.8673 0.7500  -0.05
8 Ga 0.1327 0.6250 0.2500  -0.05

Output
energy relative to the lowest polymorph listed for this composition	452	meV per atom
ΔE_f	471	meV/atom
SG	I-42d, No. 122


# 2
A plane-wave DFT calculation with GGA-PBE was carried out for DyTlTe4 after structural relaxation.

Unit cell a=6.8296 b=6.8296 c=8.7421 alpha=90.00 beta=90.00 gamma=90.00
Sites, in units of the cell vectors:
1 Te 0.6469 0.8531 0.2119
2 Te 0.1469 0.3531 0.7881
3 Te 0.8531 0.6469 0.7881
4 Te 0.1469 0.6469 0.2119
5 Te 0.6469 0.1469 0.7881
6 Te 0.3531 0.8531 0.7881
7 Te 0.8531 0.3531 0.2119
8 Te 0.3531 0.1469 0.2119
9 Tl 0.5000 0.5000 0.5000
10 Tl 0.0000 0.0000 0.5000
11 Dy 0.5000 0.5000 0.0000
12 Dy 0.0000 0.0000 0.0000

Output
raw formation energy	-0.692	eV per atom
SG	P4/nbm, No. 125